[1]
Computed, not measured: a PBEsol-optimized structure of Na11TiNb2Si4P2O26 at the SCAN level of DFT.

abc: 5.5282 7.1972 14.5007
angles: 92.57 95.64 90.72
Last column: magnetic moment on the atom in μB.
Positions (direct):
1 Na 0.5152 0.7626 0.4988  0.00
2 Na 0.4910 0.2573 0.4949  0.00
3 Na 0.2925 0.0095 0.2655  0.00
4 Na 0.7027 0.9892 0.7395  0.00
5 Na 0.8047 0.4904 0.1335  0.00
6 Na 0.1915 0.5059 0.8660  0.00
7 Na 0.0006 0.5040 0.4991  0.00
8 Na 0.7507 0.2641 0.9228  0.00
9 Na 0.2429 0.7357 0.0788  0.00
10 Na 0.8149 0.0153 0.0992  0.00
11 Na 0.1805 0.9813 0.8993  0.00
12 Ti 0.0295 0.0026 0.4906  -0.03
13 Nb 0.6962 0.5085 0.7169  0.00
14 Nb 0.3003 0.4947 0.2820  0.00
15 Si 0.7974 0.2053 0.3148  0.00
16 Si 0.1928 0.7968 0.6863  0.00
17 Si 0.8206 0.7814 0.3008  0.00
18 Si 0.1799 0.2196 0.6947  0.00
19 P 0.6843 0.7425 0.9344  0.00
20 P 0.3092 0.2537 0.0667  0.00
21 O 0.7419 0.5681 0.8701  0.00
22 O 0.2503 0.4290 0.1302  0.00
23 O 0.5854 0.2556 0.0581  0.01
24 O 0.4081 0.7416 0.9431  0.02
25 O 0.5720 0.6716 0.2550  0.00
26 O 0.4283 0.3288 0.7427  0.00
27 O 0.9432 0.3011 0.7432  0.00
28 O 0.0571 0.7021 0.2513  0.00
29 O 0.5327 0.2868 0.2814  0.00
30 O 0.4575 0.7119 0.7178  0.00
31 O 0.9832 0.6859 0.7327  0.00
32 O 0.0098 0.3215 0.2726  0.00
33 O 0.8273 0.7225 0.0307  0.02
34 O 0.1663 0.2723 0.9702  0.01
35 O 0.7637 0.9273 0.8936  0.02
36 O 0.2306 0.0705 0.1090  0.01
37 O 0.7826 0.9700 0.5867  0.72
38 O 0.2771 0.0021 0.4252  0.01
39 O 0.7945 0.9955 0.2623  0.00
40 O 0.2103 0.0085 0.7363  0.00
41 O 0.6817 0.4885 0.5923  0.00
42 O 0.3228 0.5186 0.4067  0.00
43 O 0.8477 0.7905 0.4125  0.00
44 O 0.1692 0.2130 0.5829  0.01
45 O 0.8363 0.1957 0.4266  0.01
46 O 0.1509 0.7996 0.5743  0.12

## Properties
Symmetry: P1
Total moment in Bohr magnetons per cell: 1.2
Energy relative to the elements, uncorrected in eV per formula unit: -120.7
Total DFT energy (no corrections) in eV per atom: -10.266



[2]
Computed, not measured: a PBEsol-optimized structure of Sr2AsBr at the SCAN level of DFT.

abc: 4.3663 4.3663 8.2553
angles: 74.67 74.67 60.00
Positions (direct):
1 Sr 0.9074 0.9074 0.2776
2 Sr 0.7610 0.7610 0.7171
3 As 0.5009 0.5009 0.4973
4 Br 0.3307 0.3307 0.0080

## Properties
Symmetry: R3m
Total moment in Bohr magnetons per cell: 0.0
Energy relative to the elements, uncorrected in eV per formula unit: -6.5
Total DFT energy (no corrections) in eV per atom: -22.683



[3]
Computed, not measured: a PBEsol-optimized structure of Pt2OF at the SCAN level of DFT.

abc: 4.0446 4.0446 4.0446
angles: 60.00 60.00 60.00
Last column: magnetic moment on the atom in μB.
Positions (direct):
1 O 0.0000 0.0000 0.0000  0.76
2 Pt 0.2500 0.2500 0.2500  0.69
3 Pt 0.7500 0.7500 0.7500  0.69
4 F 0.5000 0.5000 0.5000  0.10

## Properties
Symmetry: Fm-3m
Total moment in Bohr magnetons per cell: 2.2
Energy relative to the elements, uncorrected in eV per formula unit: 2.7
Total DFT energy (no corrections) in eV per atom: -36.853



[4]
Computed, not measured: a PBEsol-optimized structure of Li2NiRu at the SCAN level of DFT.

abc: 2.4757 4.2136 4.6386
angles: 90.00 90.06 90.00
Positions (direct):
1 Ru 0.1258 0.5000 0.6869
2 Ni 0.6254 0.0000 0.5625
3 Li 0.1238 0.0000 0.0500
4 Li 0.6250 0.5000 0.2006

## Properties
Symmetry: Pmm2
Total moment in Bohr magnetons per cell: 0.0
E above lowest polymorph in eV per atom: 0.004
Formation energy in eV per atom: 0.05
Total DFT energy (no corrections) in eV per atom: -13.897



[5]
Computed, not measured: a PBEsol-optimized structure of Cd2SiP at the SCAN level of DFT.

abc: 2.8365 2.8365 10.6355
angles: 82.34 82.34 60.00
Positions (direct):
1 Cd 0.2493 0.2493 0.2522
2 Cd 0.7507 0.7507 0.7478
3 P 0.5000 0.5000 0.5000
4 Si 0.0000 0.0000 0.0000

## Properties
Symmetry: R-3m
Total moment in Bohr magnetons per cell: 0.0
E above lowest polymorph in eV per atom: 0.083
Energy relative to the elements, uncorrected in eV per formula unit: 2.2
Total DFT energy (no corrections) in eV per atom: -19.758



[6]
Computed, not measured: a PBEsol-optimized structure of PIr5 at the SCAN level of DFT.

abc: 2.7204 4.3759 7.1580
angles: 90.00 100.95 90.00
Positions (direct):
1 Ir 0.9945 0.0000 0.9890
2 Ir 0.3283 0.0000 0.6565
3 Ir 0.6596 0.0000 0.3193
4 Ir 0.4510 0.5000 0.9021
5 Ir 0.7770 0.5000 0.5539
6 P 0.1229 0.5000 0.2458

## Properties
Symmetry: Amm2
Total moment in Bohr magnetons per cell: 0.0
Formation energy in eV per atom: 0.24
Total DFT energy (no corrections) in eV per atom: -60.747



[7]
Computed, not measured: a PBEsol-optimized structure of YCd2W at the SCAN level of DFT.

abc: 3.6541 3.6541 6.0906
angles: 90.00 90.00 90.00
Positions (direct):
1 Cd 0.0000 0.0000 0.7752
2 Cd 0.0000 0.0000 0.2248
3 W 0.5000 0.5000 0.0000
4 Y 0.5000 0.5000 0.5000

## Properties
Symmetry: P4/mmm
Total moment in Bohr magnetons per cell: 0.0
E above lowest polymorph in eV per atom: 0.000
Formation energy in eV per atom: 0.45
Total DFT energy (no corrections) in eV per atom: -39.141



[8]
Computed, not measured: a PBEsol-optimized structure of KYTl2 at the SCAN level of DFT.

abc: 3.7650 3.7650 8.5265
angles: 90.00 90.00 90.00
Last column: magnetic moment on the atom in μB.
Positions (direct):
1 Y 0.5000 0.5000 0.0000  0.11
2 Tl 0.0000 0.0000 0.7912  0.00
3 Tl 0.0000 0.0000 0.2088  0.00
4 K 0.5000 0.5000 0.5000  0.00

## Properties
Symmetry: P4/mmm
Total moment in Bohr magnetons per cell: 0.2
E above lowest polymorph in eV per atom: 0.000
Formation energy in eV per atom: -0.40
Total DFT energy (no corrections) in eV per atom: -45.619



What did the sixth record say?
Computed, not measured: a PBEsol-optimized structure of PIr5 at the SCAN level of DFT.

abc: 2.7204 4.3759 7.1580
angles: 90.00 100.95 90.00
Positions (direct):
1 Ir 0.9945 0.0000 0.9890
2 Ir 0.3283 0.0000 0.6565
3 Ir 0.6596 0.0000 0.3193
4 Ir 0.4510 0.5000 0.9021
5 Ir 0.7770 0.5000 0.5539
6 P 0.1229 0.5000 0.2458

## Properties
Symmetry: Amm2
Total moment in Bohr magnetons per cell: 0.0
Formation energy in eV per atom: 0.24
Total DFT energy (no corrections) in eV per atom: -60.747